Material: CdIr3Ru
Method: DFT, PBEsol
State: relaxed

abc: 4.6432 4.6432 4.6432
angles: 90.00 90.00 90.00
Last column: nearest neighbours and their distance in Å.
Positions (direct):
Cd1 0.0000 0.0000 0.0000  12 Ir 3.28
Ir1 0.0000 0.5000 0.5000  2 Ru 2.32
Ir2 0.5000 0.0000 0.5000  2 Ru 2.32
Ir3 0.5000 0.5000 0.0000  2 Ru 2.32
Ru1 0.5000 0.5000 0.5000  6 Ir 2.32

Properties
Its energy of formation is 1767.2 meV per atom. Its symmetry is Pm-3m, No. 221. The calculation puts the total magnetic moment at 0.00 μB/f.u. Its volume is 100 Å³ per cell. For the density of states at the Fermi level, the calculation gives 5.89 states/eV per cell. The calculation puts the mass density at 13.11 g/cm³. The value obtained for the total energy is -6.401 eV/atom.

Material: Sc4FeP
Method: DFT, PBEsol
State: relaxed

abc: 5.4635 5.4635 5.4635
angles: 60.00 60.00 60.00
Last column: nearest neighbours and their distance in Å.
Positions (direct):
Sc1 0.1254 0.1254 0.1254  6 Sc 2.72-2.74
Sc2 0.1254 0.1254 0.6237  6 Sc 2.72-2.74
Sc3 0.1254 0.6237 0.1254  6 Sc 2.72-2.74
Sc4 0.6237 0.1254 0.1254  6 Sc 2.72-2.74
Fe1 0.5000 0.5000 0.5000  12 Sc 3.20, 4 P 3.35
P1 0.7500 0.7500 0.7500  12 Sc 3.20, 4 Fe 3.35

Properties
Its energy of formation is 552.7 meV per atom. Its symmetry is F-43m, No. 216. The calculation puts the total magnetic moment at 1.95 μB/f.u. Its volume is 115 Å³ per cell. For the density of states at the Fermi level, the calculation gives 8.90 states/eV per cell. The calculation puts the mass density at 3.84 g/cm³. The value obtained for the total energy is -6.310 eV/atom.

Material: NaY3Au
Method: DFT, PBEsol
State: relaxed

abc: 5.5526 5.5526 5.5526
angles: 90.00 90.00 90.00
Last column: nearest neighbours and their distance in Å.
Positions (direct):
Na1 0.0000 0.0000 0.0000  12 Y 3.93
Y1 0.0000 0.5000 0.5000  2 Au 2.78
Y2 0.5000 0.0000 0.5000  2 Au 2.78
Y3 0.5000 0.5000 0.0000  2 Au 2.78
Au1 0.5000 0.5000 0.5000  6 Y 2.78

Properties
Its energy of formation is 1.4 meV per atom. Its symmetry is Pm-3m, No. 221. The calculation puts the total magnetic moment at 0.03 μB/f.u. Its volume is 171 Å³ per cell. For the density of states at the Fermi level, the calculation gives 7.78 states/eV per cell. The calculation puts the mass density at 4.72 g/cm³. The value obtained for the total energy is -5.157 eV/atom.

Material: YFeCo3
Method: DFT, PBEsol
State: relaxed

abc: 4.2664 4.2664 4.2664
angles: 90.00 90.00 90.00
Last column: nearest neighbours and their distance in Å.
Positions (direct):
Y1 0.0000 0.0000 0.0000  12 Co 3.02
Fe1 0.5000 0.5000 0.5000  6 Co 2.13
Co1 0.0000 0.5000 0.5000  2 Fe 2.13
Co2 0.5000 0.0000 0.5000  2 Fe 2.13
Co3 0.5000 0.5000 0.0000  2 Fe 2.13

Properties
Its energy of formation is 494.4 meV per atom. Its symmetry is Pm-3m, No. 221. The calculation puts the total magnetic moment at 6.05 μB/f.u. Its volume is 78 Å³ per cell. For the density of states at the Fermi level, the calculation gives 4.26 states/eV per cell. The calculation puts the mass density at 6.88 g/cm³. The value obtained for the total energy is -7.305 eV/atom.

Material: Na3Sr4La3Ti10O30
Method: DFT, PBEsol
State: relaxed

abc: 19.7011 5.4774 19.6916
angles: 82.11 15.99 81.91
Last column: nearest neighbours and their distance in Å.
Positions (direct):
Na1 0.0000 0.0000 0.0000  4 O 2.44-2.46
Na2 0.3931 0.5909 0.4091  6 O 2.49-2.72
Na3 0.5909 0.3931 0.6069  6 O 2.49-2.72
Sr1 0.1861 0.7861 0.2139  10 O 2.58-2.87
Sr2 0.2878 0.6867 0.3133  6 O 2.52-2.74
Sr3 0.6867 0.2878 0.7122  6 O 2.52-2.74
Sr4 0.7861 0.1861 0.8139  10 O 2.58-2.87
La1 0.0857 0.8857 0.1143  6 O 2.38-2.65
La2 0.5043 0.5043 0.4957  8 O 2.56-2.61
La3 0.8857 0.0857 0.9143  6 O 2.38-2.65
Ti1 0.0483 0.4451 0.0506  6 O 1.89-2.03
Ti2 0.1361 0.3389 0.1616  6 O 1.93-1.99
Ti3 0.2364 0.2364 0.2636  6 O 1.92-1.98
Ti4 0.3389 0.1361 0.3634  6 O 1.93-1.99
Ti5 0.4451 0.0483 0.4559  6 O 1.89-2.03
Ti6 0.5441 0.9494 0.5549  6 O 1.89-2.03
Ti7 0.6366 0.8384 0.6611  6 O 1.93-1.99
Ti8 0.7364 0.7364 0.7636  6 O 1.92-1.98
Ti9 0.8384 0.6366 0.8639  6 O 1.93-1.99
Ti10 0.9494 0.5441 0.9517  6 O 1.89-2.03
O1 0.0326 0.4447 0.9674  2 Ti 1.94
O2 0.0523 0.4340 0.1463  2 Ti 1.94-1.95
O3 0.0675 0.9154 0.6353  2 Ti 1.93-1.99
O4 0.1130 0.3970 0.6030  2 Ti 1.95
O5 0.1503 0.2662 0.7338  2 Ti 1.96
O6 0.2171 0.7597 0.6840  2 Ti 1.89-2.03
O7 0.2203 0.2637 0.1786  2 Ti 1.97
O8 0.2637 0.2203 0.3374  2 Ti 1.97
O9 0.2662 0.1503 0.8497  2 Ti 1.96
O10 0.3160 0.6608 0.7829  2 Ti 1.89-2.03
O11 0.3647 0.6182 0.9325  2 Ti 1.93-1.99
O12 0.3970 0.1130 0.8870  2 Ti 1.95
O13 0.4340 0.0523 0.3675  2 Ti 1.94-1.95
O14 0.4447 0.0326 0.5553  2 Ti 1.94
O15 0.4902 0.4902 0.0098  2 Ti 1.92-1.98
O16 0.4948 0.9835 0.0165  2 Ti 1.94
O17 0.5717 0.8835 0.1165  2 Ti 1.94
O18 0.6182 0.3647 0.0846  2 Ti 1.93-1.99
O19 0.6325 0.8537 0.5660  2 Ti 1.94-1.95
O20 0.6608 0.3160 0.2403  2 Ti 1.89-2.03
O21 0.6626 0.8214 0.7363  2 Ti 1.97
O22 0.7195 0.8023 0.1977  2 Ti 1.97
O23 0.7597 0.2171 0.3392  2 Ti 1.89-2.03
O24 0.8023 0.7195 0.2805  2 Ti 1.97
O25 0.8214 0.6626 0.7797  2 Ti 1.97
O26 0.8537 0.6325 0.9477  2 Ti 1.94-1.95
O27 0.8835 0.5717 0.4283  2 Ti 1.94
O28 0.9154 0.0675 0.3818  2 Ti 1.93-1.99
O29 0.9835 0.4948 0.5052  2 Ti 1.94
O30 0.9902 0.9902 0.5098  2 Ti 1.92-1.98

Properties
Its symmetry is Fmm2, No. 42. The calculation puts the total magnetic moment at 0.00 μB/f.u. Its volume is 579 Å³ per cell. For the density of states at the Fermi level, the calculation gives 0.00 states/eV per cell. The calculation puts the mass density at 5.14 g/cm³. The value obtained for the total energy is -8.485 eV/atom. Its formation energy from raw total energies is -3.119 eV/atom.

Material: CsMgCl2
Method: DFT, PBEsol
State: relaxed

abc: 8.4266 8.4266 8.4266
angles: 132.49 132.49 69.46
Last column: nearest neighbours and their distance in Å.
Positions (direct):
Cs1 0.0000 0.0000 0.0000  4 Cl 3.45
Cs2 0.7500 0.2500 0.5000  4 Cl 3.45
Mg1 0.2500 0.7500 0.5000  4 Cl 2.60
Mg2 0.5000 0.5000 0.0000  4 Cl 2.60
Cl1 0.2360 0.6250 0.1110  2 Mg 2.60
Cl2 0.3750 0.4860 0.6110  2 Mg 2.60
Cl3 0.5140 0.1250 0.8890  2 Mg 2.60
Cl4 0.8750 0.7640 0.3890  2 Mg 2.60

Properties
Its symmetry is I-42d, No. 122. The calculation puts the total magnetic moment at 0.00 μB/f.u. Its volume is 319 Å³ per cell. For the density of states at the Fermi level, the calculation gives 0.92 states/eV per cell. The calculation puts the mass density at 2.37 g/cm³. The value obtained for the total energy is -2.965 eV/atom. Its formation energy from raw total energies is -1.296 eV/atom.

Question: The highest mass density belongs to which entry?
Answer: CdIr3Ru